Material: RbFeGe2O6
Method: DFT, PBE+U
State: relaxed

VASP energy ... -6.15 eV/atom
Density of states at the Fermi level ... 0.00 states/eV/f.u.

Cell: 5.7757 7.8713 7.8713 Å, 96.14 76.85 76.85°
Last column: nearest neighbours and their distance in Å.
Sites, in units of the cell vectors:
Rb 0.2500 0.8966 0.1034  6 O 2.75-3.05
Rb 0.7500 0.1034 0.8966  6 O 2.75-3.05
Fe 0.2500 0.2362 0.7638  4 O 1.86-1.91
Fe 0.7500 0.7638 0.2362  4 O 1.86-1.91
Ge 0.3364 0.7772 0.6171  4 O 1.74-1.80
Ge 0.1636 0.3829 0.2228  4 O 1.74-1.80
Ge 0.6636 0.2228 0.3829  4 O 1.74-1.80
Ge 0.8364 0.6171 0.7772  4 O 1.74-1.80
O 0.2482 0.9930 0.7390  1 Ge 1.76, 1 Fe 1.91
O 0.2518 0.2610 0.0070  1 Ge 1.76, 1 Fe 1.91
O 0.7518 0.0070 0.2610  1 Ge 1.76, 1 Fe 1.91
O 0.7482 0.7390 0.9930  1 Ge 1.76, 1 Fe 1.91
O 0.4539 0.7615 0.3901  1 Ge 1.74, 1 Fe 1.86
O 0.0461 0.6099 0.2385  1 Ge 1.74, 1 Fe 1.86
O 0.5461 0.2385 0.6099  1 Ge 1.74, 1 Fe 1.86
O 0.9539 0.3901 0.7615  1 Ge 1.74, 1 Fe 1.86
O 0.0516 0.7143 0.6468  2 Ge 1.79-1.80
O 0.4484 0.3532 0.2857  2 Ge 1.79-1.80
O 0.9484 0.2857 0.3532  2 Ge 1.79-1.80
O 0.5516 0.6468 0.7143  2 Ge 1.79-1.80